Cs2Cd3Au2 | PBE-GGA | optimized geometry

Lattice parameters (Å, degrees): 7.094 7.094 8.690 121.40 121.40 39.44
Element x y z (fractional)
1 Au 0.882 0.882 0.799
2 Au 0.118 0.118 0.201
3 Cs 0.862 0.862 0.232
4 Cs 0.138 0.138 0.768
5 Cd 0.336 0.336 0.577
6 Cd 0.664 0.664 0.423
7 Cd 0.500 0.500 0.000

Summary:
- density (kg/m3) = 7154
- crystal system = monoclinic
- E (eV per cell) = -12.506

***

CsCdAu | PBE-GGA | optimized geometry

Lattice parameters (Å, degrees): 5.632 5.632 5.632 60.00 60.00 60.00
Element x y z (fractional)
1 Au 0.000 0.000 0.000
2 Cd 0.250 0.250 0.250
3 Cs 0.750 0.750 0.750

Summary:
- density (kg/m3) = 5815
- crystal system = cubic
- E (eV per cell) = -5.316

***

CsCdPbAu | PBE-GGA | optimized geometry

Lattice parameters (Å, degrees): 5.606 5.606 5.606 60.00 60.00 60.00
Element x y z (fractional)
1 Pb 0.250 0.250 0.250
2 Au 0.750 0.750 0.750
3 Cd 0.500 0.500 0.500
4 Cs 0.000 0.000 0.000

Summary:
- density (kg/m3) = 8659
- crystal system = cubic
- E (eV per cell) = -7.844

***

CsCdPbAu | PBE-GGA | optimized geometry

Lattice parameters (Å, degrees): 5.557 5.557 5.557 60.00 60.00 60.00
Element x y z (fractional)
1 Cd 0.000 0.000 0.000
2 Cs 0.250 0.250 0.250
3 Pb 0.500 0.500 0.500
4 Au 0.750 0.750 0.750

Summary:
- density (kg/m3) = 8887
- crystal system = cubic
- E (eV per cell) = -7.840

***

CsCdPbAu | PBE-GGA | optimized geometry

Lattice parameters (Å, degrees): 5.647 5.647 5.647 60.00 60.00 60.00
Element x y z (fractional)
1 Cd 0.250 0.250 0.250
2 Cs 0.000 0.000 0.000
3 Pb 0.500 0.500 0.500
4 Au 0.750 0.750 0.750

Summary:
- density (kg/m3) = 8469
- crystal system = cubic
- E (eV per cell) = -8.307

***

CdCuAu2 | PBE-GGA | optimized geometry

Lattice parameters (Å, degrees): 4.601 4.601 4.601 60.00 60.00 60.00
Element x y z (fractional)
1 Au 0.500 0.500 0.500
2 Au 0.250 0.250 0.250
3 Cd 0.750 0.750 0.750
4 Cu 0.000 0.000 0.000

Summary:
- density (kg/m3) = 13743
- DFT formation energy (kJ/mol of formula units) = -20
- crystal system = cubic

***

Dy3Cd3Cu2Au | PBE-GGA | optimized geometry

Lattice parameters (Å, degrees): 7.509 7.509 3.952 90.00 90.00 120.00
Element x y z (fractional)
1 Cu 0.667 0.333 0.500
2 Cu 0.333 0.667 0.500
3 Dy 0.406 0.406 0.000
4 Dy 0.594 0.000 0.000
5 Dy 0.000 0.594 0.000
6 Cd 0.000 0.269 0.500
7 Cd 0.269 0.000 0.500
8 Cd 0.731 0.731 0.500
9 Au 0.000 0.000 0.000

Summary:
- density (kg/m3) = 9886
- DFT formation energy (kJ/mol of formula units) = -339
- crystal system = hexagonal

***

DyEr2Cd3CuAu2 | PBE-GGA | optimized geometry

Lattice parameters (Å, degrees): 3.832 7.706 7.706 120.14 90.00 90.00
Element x y z (fractional)
1 Cd 0.500 0.754 0.754
2 Cd 0.500 0.000 0.246
3 Cd 0.500 0.246 0.000
4 Au 0.500 0.668 0.333
5 Au 0.500 0.333 0.668
6 Er 0.000 0.000 0.593
7 Er 0.000 0.593 0.000
8 Cu 0.000 0.999 0.999
9 Dy 0.000 0.407 0.407

Summary:
- density (kg/m3) = 10900
- DFT formation energy (kJ/mol of formula units) = -499
- crystal system = orthorhombic

***

Dy2ErCd3CuAu2 | PBE-GGA | optimized geometry

Lattice parameters (Å, degrees): 3.842 7.705 7.705 119.88 90.00 90.00
Element x y z (fractional)
1 Dy 0.000 0.000 0.594
2 Dy 0.000 0.594 0.000
3 Cd 0.500 0.246 0.000
4 Cd 0.500 0.754 0.754
5 Cd 0.500 0.000 0.246
6 Cu 0.000 0.001 0.001
7 Au 0.500 0.334 0.665
8 Au 0.500 0.665 0.334
9 Er 0.000 0.406 0.406

Summary:
- density (kg/m3) = 10807
- DFT formation energy (kJ/mol of formula units) = -500
- crystal system = orthorhombic

***

GdDy2Cd3CuAu2 | PBE-GGA | optimized geometry

Lattice parameters (Å, degrees): 3.874 7.738 7.738 120.12 90.00 90.00
Element x y z (fractional)
1 Au 0.500 0.332 0.667
2 Au 0.500 0.667 0.332
3 Cd 0.500 0.245 0.245
4 Cd 0.500 0.001 0.755
5 Cd 0.500 0.755 0.001
6 Cu 0.000 0.001 0.001
7 Dy 0.000 0.000 0.407
8 Dy 0.000 0.407 0.000
9 Gd 0.000 0.593 0.593

Summary:
- density (kg/m3) = 10566
- DFT formation energy (kJ/mol of formula units) = -501
- crystal system = orthorhombic

***

DyHo2Cd3CuAu2 | PBE-GGA | optimized geometry

Lattice parameters (Å, degrees): 3.841 7.717 7.717 120.06 90.00 90.00
Element x y z (fractional)
1 Cd 0.500 0.754 0.000
2 Cd 0.500 0.246 0.246
3 Cd 0.500 0.000 0.754
4 Cu 0.000 0.000 0.000
5 Au 0.500 0.667 0.333
6 Au 0.500 0.333 0.667
7 Ho 0.000 0.000 0.407
8 Ho 0.000 0.407 0.000
9 Dy 0.000 0.593 0.593

Summary:
- density (kg/m3) = 10797
- DFT formation energy (kJ/mol of formula units) = -501
- crystal system = orthorhombic

***

Pr2DyCd3CuAu2 | PBE-GGA | optimized geometry

Lattice parameters (Å, degrees): 3.972 7.843 7.843 119.64 90.00 90.00
Element x y z (fractional)
1 Dy 0.000 0.591 0.591
2 Au 0.500 0.664 0.342
3 Au 0.500 0.342 0.664
4 Cd 0.500 0.243 0.243
5 Cd 0.500 0.758 0.997
6 Cd 0.500 0.997 0.758
7 Cu 0.000 0.996 0.996
8 Pr 0.000 0.409 0.000
9 Pr 0.000 0.000 0.409

Summary:
- density (kg/m3) = 9691
- DFT formation energy (kJ/mol of formula units) = -480
- crystal system = orthorhombic

***

Tb2DyCd3CuAu2 | PBE-GGA | optimized geometry

Lattice parameters (Å, degrees): 3.878 7.720 7.720 119.93 90.00 90.00
Element x y z (fractional)
1 Cu 0.000 0.000 0.000
2 Au 0.500 0.334 0.666
3 Au 0.500 0.666 0.334
4 Tb 0.000 0.592 0.000
5 Tb 0.000 0.000 0.592
6 Cd 0.500 0.755 0.755
7 Cd 0.500 0.245 0.000
8 Cd 0.500 0.000 0.245
9 Dy 0.000 0.408 0.408

Summary:
- density (kg/m3) = 10570
- DFT formation energy (kJ/mol of formula units) = -502
- crystal system = orthorhombic

***

Dy2YCd3CuAu2 | PBE-GGA | optimized geometry

Lattice parameters (Å, degrees): 3.865 7.731 7.731 120.09 90.00 90.00
Element x y z (fractional)
1 Au 0.500 0.332 0.667
2 Au 0.500 0.667 0.332
3 Y 0.000 0.593 0.593
4 Dy 0.000 0.000 0.407
5 Dy 0.000 0.407 0.000
6 Cd 0.500 0.000 0.754
7 Cd 0.500 0.754 0.000
8 Cd 0.500 0.246 0.246
9 Cu 0.000 0.001 0.001

Summary:
- density (kg/m3) = 10043
- DFT formation energy (kJ/mol of formula units) = -504
- crystal system = orthorhombic

***

Gd2ErCd3CuAu2 | PBE-GGA | optimized geometry

Lattice parameters (Å, degrees): 3.883 7.723 7.723 119.77 90.00 90.00
Element x y z (fractional)
1 Gd 0.000 0.592 0.000
2 Gd 0.000 0.000 0.592
3 Cd 0.500 0.001 0.245
4 Cd 0.500 0.245 0.001
5 Cd 0.500 0.755 0.755
6 Au 0.500 0.663 0.334
7 Au 0.500 0.334 0.663
8 Er 0.000 0.408 0.408
9 Cu 0.000 0.001 0.001

Summary:
- density (kg/m3) = 10545
- DFT formation energy (kJ/mol of formula units) = -500
- crystal system = orthorhombic

***

Ho2ErCd3CuAu2 | PBE-GGA | optimized geometry

Lattice parameters (Å, degrees): 3.853 7.651 7.651 119.97 90.00 90.00
Element x y z (fractional)
1 Cd 0.500 0.245 0.000
2 Cd 0.500 0.755 0.755
3 Cd 0.500 0.000 0.245
4 Cu 0.000 0.000 0.000
5 Er 0.000 0.409 0.409
6 Au 0.500 0.666 0.334
7 Au 0.500 0.334 0.666
8 Ho 0.000 0.000 0.591
9 Ho 0.000 0.591 0.000

Summary:
- density (kg/m3) = 10981
- DFT formation energy (kJ/mol of formula units) = -499
- crystal system = orthorhombic

***

TbEr2Cd3CuAu2 | PBE-GGA | optimized geometry

Lattice parameters (Å, degrees): 3.849 7.709 7.709 120.22 90.00 90.00
Element x y z (fractional)
1 Er 0.000 0.000 0.593
2 Er 0.000 0.593 0.000
3 Au 0.500 0.333 0.669
4 Au 0.500 0.669 0.333
5 Cd 0.500 0.755 0.755
6 Cd 0.500 0.245 0.999
7 Cd 0.500 0.999 0.245
8 Cu 0.000 0.999 0.999
9 Tb 0.000 0.407 0.407

Summary:
- density (kg/m3) = 10823
- DFT formation energy (kJ/mol of formula units) = -499
- crystal system = orthorhombic

***

Er2TmCd3CuAu2 | PBE-GGA | optimized geometry

Lattice parameters (Å, degrees): 3.825 7.639 7.639 119.95 90.00 90.00
Element x y z (fractional)
1 Cu 0.000 0.999 0.999
2 Au 0.500 0.334 0.666
3 Au 0.500 0.666 0.334
4 Tm 0.000 0.591 0.591
5 Er 0.000 0.000 0.409
6 Er 0.000 0.409 0.000
7 Cd 0.500 0.000 0.754
8 Cd 0.500 0.754 0.000
9 Cd 0.500 0.245 0.245

Summary:
- density (kg/m3) = 11145
- DFT formation energy (kJ/mol of formula units) = -496
- crystal system = orthorhombic

***

Gd3Cd3Cu2Au | PBE-GGA | optimized geometry

Lattice parameters (Å, degrees): 7.552 7.552 3.988 90.00 90.00 120.00
Element x y z (fractional)
1 Au 0.000 0.000 0.000
2 Cu 0.333 0.667 0.500
3 Cu 0.667 0.333 0.500
4 Gd 0.408 0.408 0.000
5 Gd 0.000 0.592 0.000
6 Gd 0.592 0.000 0.000
7 Cd 0.733 0.733 0.500
8 Cd 0.000 0.267 0.500
9 Cd 0.267 0.000 0.500

Summary:
- density (kg/m3) = 9552
- DFT formation energy (kJ/mol of formula units) = -339
- crystal system = hexagonal

***

Gd3Cd3CuAu2 | PBE-GGA | optimized geometry

Lattice parameters (Å, degrees): 7.730 7.730 3.902 90.00 90.00 120.00
Element x y z (fractional)
1 Au 0.333 0.667 0.000
2 Au 0.667 0.333 0.000
3 Cu 0.000 0.000 0.500
4 Gd 0.591 0.000 0.500
5 Gd 0.409 0.409 0.500
6 Gd 0.000 0.591 0.500
7 Cd 0.000 0.244 0.000
8 Cd 0.244 0.000 0.000
9 Cd 0.756 0.756 0.000

Summary:
- density (kg/m3) = 10416
- DFT formation energy (kJ/mol of formula units) = -500
- crystal system = hexagonal

***

NdGd2Cd3CuAu2 | PBE-GGA | optimized geometry

Lattice parameters (Å, degrees): 3.926 7.803 7.803 120.28 90.00 90.00
Element x y z (fractional)
1 Cu 0.000 0.002 0.002
2 Au 0.500 0.668 0.329
3 Au 0.500 0.329 0.668
4 Nd 0.000 0.593 0.593
5 Cd 0.500 0.244 0.244
6 Cd 0.500 0.756 0.002
7 Cd 0.500 0.002 0.756
8 Gd 0.000 0.407 0.000
9 Gd 0.000 0.000 0.407

Summary:
- density (kg/m3) = 10082
- DFT formation energy (kJ/mol of formula units) = -492
- crystal system = orthorhombic

***

PrGd2Cd3CuAu2 | PBE-GGA | optimized geometry

Lattice parameters (Å, degrees): 3.934 7.826 7.826 120.37 90.00 90.00
Element x y z (fractional)
1 Au 0.500 0.668 0.328
2 Au 0.500 0.328 0.668
3 Pr 0.000 0.593 0.593
4 Gd 0.000 0.408 0.000
5 Gd 0.000 0.000 0.408
6 Cd 0.500 0.003 0.757
7 Cd 0.500 0.242 0.242
8 Cd 0.500 0.757 0.003
9 Cu 0.000 0.002 0.002

Summary:
- density (kg/m3) = 9987
- DFT formation energy (kJ/mol of formula units) = -489
- crystal system = orthorhombic

***

Pr2GdCd3CuAu2 | PBE-GGA | optimized geometry

Lattice parameters (Å, degrees): 3.981 7.853 7.853 119.69 90.00 90.00
Element x y z (fractional)
1 Pr 0.000 0.000 0.409
2 Pr 0.000 0.409 0.000
3 Cd 0.500 0.243 0.243
4 Cd 0.500 0.758 0.997
5 Cd 0.500 0.997 0.758
6 Au 0.500 0.340 0.665
7 Au 0.500 0.665 0.340
8 Cu 0.000 0.997 0.997
9 Gd 0.000 0.591 0.591

Summary:
- density (kg/m3) = 9605
- DFT formation energy (kJ/mol of formula units) = -481
- crystal system = orthorhombic

***

Tb2GdCd3CuAu2 | PBE-GGA | optimized geometry

Lattice parameters (Å, degrees): 3.879 7.754 7.754 120.06 90.00 90.00
Element x y z (fractional)
1 Gd 0.000 0.593 0.593
2 Au 0.500 0.333 0.667
3 Au 0.500 0.667 0.333
4 Cd 0.500 0.245 0.245
5 Cd 0.500 0.000 0.755
6 Cd 0.500 0.755 0.000
7 Cu 0.000 0.000 0.000
8 Tb 0.000 0.407 0.000
9 Tb 0.000 0.000 0.407

Summary:
- density (kg/m3) = 10447
- DFT formation energy (kJ/mol of formula units) = -501
- crystal system = orthorhombic

***

TbGd2Cd3CuAu2 | PBE-GGA | optimized geometry

Lattice parameters (Å, degrees): 3.894 7.750 7.750 119.95 90.00 90.00
Element x y z (fractional)
1 Au 0.500 0.334 0.666
2 Au 0.500 0.666 0.334
3 Cd 0.500 0.755 0.000
4 Cd 0.500 0.000 0.755
5 Cd 0.500 0.245 0.245
6 Cu 0.000 0.000 0.000
7 Tb 0.000 0.593 0.593
8 Gd 0.000 0.408 0.000
9 Gd 0.000 0.000 0.408

Summary:
- density (kg/m3) = 10391
- DFT formation energy (kJ/mol of formula units) = -501
- crystal system = orthorhombic